Entry 1:
LaPr2In9 (GGA-PBE, optimized geometry); calculated density = 7.48 g cm⁻³; total magnetic moment = 0.0 μB per cell; formation energy = -0.4794 eV/atom
1.0
4.755 0.000 0.000
0.000 4.755 0.000
0.000 0.000 14.270
La Pr In
1 2 9
Direct
0.000 0.000 0.000
0.000 0.000 0.335
0.000 0.000 0.665
0.000 0.500 0.168
0.000 0.500 0.500
0.000 0.500 0.832
0.500 0.000 0.168
0.500 0.000 0.500
0.500 0.000 0.832
0.500 0.500 0.000
0.500 0.500 0.334
0.500 0.500 0.666

---

Entry 2:
La3PrIn2 (GGA-PBE, optimized geometry); calculated density = 6.70 g cm⁻³; total magnetic moment = 0.0 μB per cell; formation energy = -0.3674 eV/atom; energy above the most stable polymorph in this dataset = 0 meV/atom
1.0
5.345 0.000 0.000
0.000 10.522 0.000
0.000 0.000 6.943
La Pr In
6 2 4
Direct
0.000 0.052 0.000
0.000 0.315 0.386
0.000 0.685 0.886
0.000 0.948 0.500
0.500 0.179 0.769
0.500 0.821 0.269
0.500 0.455 0.126
0.500 0.545 0.626
0.000 0.369 0.865
0.000 0.631 0.365
0.500 0.138 0.281
0.500 0.862 0.781

---

Entry 3:
LaPr2In3 (GGA-PBE, optimized geometry); calculated density = 7.03 g cm⁻³; total magnetic moment = 0.0 μB per cell; formation energy = -0.5017 eV/atom
1.0
3.917 0.000 0.000
0.000 3.917 0.000
0.000 0.000 11.783
La Pr In
1 2 3
Direct
0.000 0.000 0.000
0.000 0.000 0.335
0.000 0.000 0.665
0.500 0.500 0.171
0.500 0.500 0.500
0.500 0.500 0.829

---

Entry 4:
La3Pr2In4 (GGA-PBE, optimized geometry); calculated density = 6.86 g cm⁻³; total magnetic moment = 0.0 μB per cell; formation energy = -0.4519 eV/atom; energy above the most stable polymorph in this dataset = 0 meV/atom
1.0
4.777 -2.770 0.000
4.777 2.770 0.000
-0.052 0.000 10.592
La Pr In
3 2 4
Direct
0.000 0.000 0.000
0.334 0.334 0.574
0.666 0.666 0.426
0.333 0.333 0.215
0.667 0.667 0.785
0.001 0.001 0.651
0.334 0.334 0.896
0.666 0.666 0.104
0.999 0.999 0.349

---

| no. | DOS(E_F) (states/eV/cell) | DFT total energy (eV/atom) |
| --- | --- | --- |
| 1 | 6.95 | -3.740 |
| 2 | 14.33 | -4.541 |
| 3 | 3.97 | -4.285 |
| 4 | 9.82 | -4.374 |